Density functional theory data (meta-GGA SCAN) for YMnTl2 at its PBEsol-relaxed geometry.

Summary:
Total DFT energy (no corrections): -47.881 eV/atom
E_form: -177 meV per atom

a = 4.128 Å, b = 4.543 Å, c = 9.774 Å
α = 90.00°, β = 90.00°, γ = 90.00°
Space group Imm2 (No. 44)
Unique sites:
Y: 0.000 0.000 0.000 (multiplicity 2)
Mn: 0.000 0.500 0.251 (multiplicity 2)
Tl: 0.000 0.000 0.508 (multiplicity 2)
Tl: 0.000 0.500 0.757 (multiplicity 2)